(1)
# GdMgCoAu

A relaxed GdMgCoAu crystal (GGA-PBE, Alexandria via LeMat-Bulk).

Results
- Mass density: 9.4 Mg/m³
- Magnetization: 7.84 μB per formula unit
- ΔE_f: -0.27 eV/atom
- Symmetry: No. 216

Unit cell a=4.780 b=4.780 c=4.780 alpha=60.00 beta=60.00 gamma=60.00
Each line ends with the local moment (μB).
Element x y z (fractional)
1 Gd 0.750 0.750 0.750  6.91
2 Au 0.000 0.000 0.000  0.01
3 Mg 0.250 0.250 0.250  -0.01
4 Co 0.500 0.500 0.500  0.93

(2)
# PrGdCoAu

A relaxed PrGdCoAu crystal (GGA-PBE, Alexandria via LeMat-Bulk).

Results
- Mass density: 10.0 Mg/m³
- Magnetization: 6.54 μB per formula unit
- ΔE_f: -0.34 eV/atom
- Symmetry: No. 216

Unit cell a=5.071 b=5.071 c=5.071 alpha=60.00 beta=60.00 gamma=60.00
Each line ends with the local moment (μB).
Element x y z (fractional)
1 Pr 0.250 0.250 0.250  0.11
2 Au 0.000 0.000 0.000  0.02
3 Co 0.500 0.500 0.500  -1.06
4 Gd 0.750 0.750 0.750  7.14

(3)
# GdScCoAu

A relaxed GdScCoAu crystal (GGA-PBE, Alexandria via LeMat-Bulk).

Results
- Mass density: 9.6 Mg/m³
- Magnetization: 6.64 μB per formula unit
- ΔE_f: -0.41 eV/atom
- Symmetry: No. 216

Unit cell a=4.827 b=4.827 c=4.827 alpha=60.00 beta=60.00 gamma=60.00
Each line ends with the local moment (μB).
Element x y z (fractional)
1 Co 0.250 0.250 0.250  -0.85
2 Au 0.750 0.750 0.750  0.02
3 Gd 0.000 0.000 0.000  7.09
4 Sc 0.500 0.500 0.500  0.14